This record from the Alexandria database describes a relaxed YSbTe crystal. The functional is PBE.

POSCAR file:
```
YSbTe
1.0
-1.632 2.771 -4.038
-4.162 -1.510 -2.654
-4.388 2.699 0.326
Y Sb Te
1 1 1
Direct
0.000 0.000 0.000
0.500 0.500 0.500
0.750 0.750 0.750
```

- energy relative to the elements, uncorrected (kJ per mole of atoms) = -32.0
- E_tot (Ha/atom) = -0.1803
- magnetic moment (μB/f.u.) = 0.00